1.
Entry from Alexandria via LeMat-Bulk: crystalline ZnCdIn2 at its relaxed geometry (PBE-GGA).

Cell and atoms, written as POSCAR:
```
ZnCdIn2
1.0
-4.202 -0.837 1.886
0.223 -3.445 -1.032
2.543 -2.690 4.473
Cd In Zn
1 2 1
Cartesian
-0.024 -4.431 3.789
2.647 -5.921 3.270
-1.259 -2.179 2.038
1.350 -3.644 1.390
```

Properties
Excess energy over the best structure of this formula in the dataset = 20.5 meV per atom
Formation energy = 7.4 kJ/mol of atoms
Theoretical density = 7.1 Mg/m³

***

2.
Entry from Alexandria via LeMat-Bulk: crystalline BePt2Rh at its relaxed geometry (PBE-GGA).

Cell and atoms, written as POSCAR:
```
BePt2Rh
1.0
4.640 -0.007 0.000
1.465 4.402 0.000
-3.053 -2.198 2.716
Pt Be Rh
2 1 1
Cartesian
0.000 0.000 0.000
0.733 2.201 1.358
2.320 -0.003 1.358
3.053 2.198 0.000
```

Properties
Formation energy = -18.5 kJ/mol of atoms
Theoretical density = 15.0 Mg/m³

***

3.
Entry from Alexandria via LeMat-Bulk: crystalline Tb2Ti2Fe15 at its relaxed geometry (PBE-GGA).

Cell and atoms, written as POSCAR:
```
Tb2Ti2Fe15
1.0
2.427 1.520 5.768
-5.491 1.910 2.769
-1.411 -5.516 3.009
Fe Ti Tb
15 2 2
Cartesian
-2.636 -3.286 2.937
0.049 1.637 4.867
1.214 0.760 2.884
-2.746 0.955 1.384
-4.266 -0.320 2.841
-0.706 -2.758 1.504
-3.113 1.793 3.669
-0.208 -2.322 6.211
-4.150 -2.128 4.718
-0.258 -3.403 3.837
1.275 -0.593 4.939
-0.325 0.042 6.827
-2.236 -3.460 5.454
-2.239 1.374 6.091
-4.267 0.236 5.334
-4.016 -1.872 10.360
-0.459 -0.214 1.185
-1.564 -0.729 4.034
-2.911 -1.357 7.511
```

Properties
Formation energy = -8.4 kJ/mol of atoms
Theoretical density = 8.0 Mg/m³

***

4.
Entry from Alexandria via LeMat-Bulk: crystalline Pa2Hg at its relaxed geometry (PBE-GGA).

Cell and atoms, written as POSCAR:
```
Pa2Hg
1.0
3.791 0.038 -0.138
0.038 3.791 -0.138
-2.085 -2.085 5.345
Pa Hg
2 1
Cartesian
1.700 1.700 3.173
0.043 0.043 1.895
1.914 1.914 -0.138
```

Properties
Excess energy over the best structure of this formula in the dataset = 110.4 meV per atom
Formation energy = 16.1 kJ/mol of atoms
Theoretical density = 14.7 Mg/m³

***

| no. | total magnetization (μB per atom) |
| --- | --- |
| 1 | 0.0000 |
| 2 | 0.0001 |
| 3 | 1.5170 |
| 4 | 0.0004 |